# 1
The following is a PBE calculation of Y2ZnP after structural relaxation, from Alexandria.

Results
Density of states at the Fermi level   10.77 states/eV per cell
DFT total energy   -5.791 eV/atom
ΔE_f   -0.888 eV/atom
Excess energy over the best structure of this formula in the dataset   0 meV per atom

```
data_Y2ZnP
_chemical_formula_sum 'Y6 Zn3 P3'
_cell_length_a 3.9611
_cell_length_b 3.9611
_cell_length_c 21.4533
_cell_angle_alpha 90.00
_cell_angle_beta 90.00
_cell_angle_gamma 120.00
_symmetry_space_group_name_H-M 'R -3 m'
_symmetry_Int_Tables_number 166
_symmetry_space_group_name_Hall '-R 3 2"'
loop_
_atom_site_label
_atom_site_type_symbol
_atom_site_fract_x
_atom_site_fract_y
_atom_site_fract_z
Y1 Y 0.0000 0.0000 0.2395
Zn1 Zn 0.0000 0.0000 0.0000
P1 P 0.0000 0.0000 0.5000
```



# 2
The following is a PBE calculation of YZnP3 after structural relaxation, from Alexandria.

Results
Density of states at the Fermi level   3.87 states/eV per cell
DFT total energy   -4.022 eV/atom
ΔE_f   0.771 eV/atom
Excess energy over the best structure of this formula in the dataset   630 meV per atom

```
data_YZnP3
_chemical_formula_sum 'Y1 Zn1 P3'
_cell_length_a 5.2540
_cell_length_b 5.2540
_cell_length_c 5.2540
_cell_angle_alpha 90.00
_cell_angle_beta 90.00
_cell_angle_gamma 90.00
_symmetry_space_group_name_H-M 'P m -3 m'
_symmetry_Int_Tables_number 221
_symmetry_space_group_name_Hall '-P 4 2 3'
loop_
_atom_site_label
_atom_site_type_symbol
_atom_site_fract_x
_atom_site_fract_y
_atom_site_fract_z
Y1 Y 0.0000 0.0000 0.0000
Zn1 Zn 0.5000 0.5000 0.5000
P1 P 0.0000 0.0000 0.5000
```